{"formula": "SrDyCu", "functional": "GGA-PBE", "state": "relaxed", "lattice_angstrom": [[0.0000, 3.5891, 3.5891], [3.5891, 0.0000, 3.5891], [3.5891, 3.5891, 0.0000]], "species": ["Cu", "Dy", "Sr"], "fractional_positions": [[0.0000, 0.0000, 0.0000], [0.2500, 0.2500, 0.2500], [0.7500, 0.7500, 0.7500]], "final_energy_ev_per_atom": -3.115, "spacegroup": "F-43m, No. 216"}